No. 1
The following is a DFT calculation (GGA-PBE) of crystalline Th3RuSe2 at its relaxed geometry.

The value obtained for the total DFT energy (no corrections) is -7.6501 eV/atom. As for the mass density: 9.83 g cm⁻³. The density of states at the Fermi level comes out at 0.67 states/eV per atom. Its crystal system is monoclinic. The spin magnetization comes out at 0.0 μB/f.u.

The structure belongs to space group C2/m (No. 12); the cell edges are 7.2651, 12.5342 and 7.4923 Å and the angles 90.00°, 108.90° and 90.00°. The asymmetric unit holds Th at (0.2190, 0.0000, 0.2235), Th at (0.2453, 0.1775, 0.7720), Ru at (0.0000, 0.1680, 0.0000), Se at (0.0000, 0.0000, 0.5000), Se at (0.0000, 0.3436, 0.5000) and Se at (0.0000, 0.5000, 0.0000).

---

No. 2
The following is a DFT calculation (GGA-PBE) of crystalline Th5RuSe4 at its relaxed geometry.

The value obtained for the total DFT energy (no corrections) is -7.3981 eV/atom. As for the mass density: 9.91 g cm⁻³. The density of states at the Fermi level comes out at 0.70 states/eV per atom. Its crystal system is tetragonal. The spin magnetization comes out at 0.0 μB/f.u.

The structure belongs to space group I4/m (No. 87); the cell edges are 9.4094, 9.4094 and 5.9713 Å and the angles 90.00°, 90.00° and 90.00°. The asymmetric unit holds Th at (0.0000, 0.0000, 0.0000), Th at (0.0994, 0.7180, 0.5000), Ru at (0.0000, 0.0000, 0.5000) and Se at (0.0920, 0.6935, 0.0000).

---

No. 3
The following is a DFT calculation (GGA-PBE) of crystalline Th4RuSe5 at its relaxed geometry.

The value obtained for the total DFT energy (no corrections) is -7.0412 eV/atom. As for the mass density: 7.50 g cm⁻³. The density of states at the Fermi level comes out at 0.40 states/eV per atom. Its crystal system is monoclinic. The spin magnetization comes out at 0.0 μB/f.u.

The structure belongs to space group C2/m (No. 12); the cell edges are 18.0186, 4.2232 and 8.6260 Å and the angles 90.00°, 106.07° and 90.00°. The asymmetric unit holds Th at (0.0032, 0.0000, 0.2462), Th at (0.1581, 0.5000, 0.0910), Ru at (0.0000, 0.5000, 0.0000), Se at (0.0000, 0.5000, 0.5000), Se at (0.1693, 0.0000, 0.8500) and Se at (0.1698, 0.0000, 0.3300).

---

No. 4
The following is a DFT calculation (GGA-PBE) of crystalline TmThRuSe at its relaxed geometry.

The value obtained for the total DFT energy (no corrections) is -7.1321 eV/atom. As for the mass density: 9.60 g cm⁻³. The density of states at the Fermi level comes out at 0.67 states/eV per atom. Its crystal system is trigonal. The spin magnetization comes out at 0.0 μB/f.u.

The structure belongs to space group R3m (No. 160, hexagonal axes); the cell edges are 4.0203, 4.0203 and 21.5409 Å and the angles 90.00°, 90.00° and 120.00°. The asymmetric unit holds Tm at (0.0000, 0.0000, 0.0000), Th at (0.0000, 0.0000, 0.1895), Ru at (0.0000, 0.0000, 0.5912) and Se at (0.0000, 0.0000, 0.7546).

---

No. 5
The following is a DFT calculation (GGA-PBE) of crystalline TiRuSe2 at its relaxed geometry.

The value obtained for the total DFT energy (no corrections) is -6.2842 eV/atom. As for the mass density: 5.70 g cm⁻³. The value obtained for the polymorph energy (0 for the lowest one) is 0.056 eV/atom. The density of states at the Fermi level comes out at 0.75 states/eV per atom. Its crystal system is tetragonal. The spin magnetization comes out at 0.0 μB/f.u.

The structure belongs to space group I-42d (No. 122); the cell edges are 5.6208, 5.6208 and 11.3158 Å and the angles 90.00°, 90.00° and 90.00°. The asymmetric unit holds Ti at (0.0000, 0.0000, 0.0000), Ru at (0.0000, 0.0000, 0.5000) and Se at (0.2407, 0.2500, 0.6250).

---

No. 6
The following is a DFT calculation (GGA-PBE) of crystalline TiRuSe2 at its relaxed geometry.

The value obtained for the total DFT energy (no corrections) is -6.2812 eV/atom. As for the mass density: 7.03 g cm⁻³. The value obtained for the polymorph energy (0 for the lowest one) is 0.059 eV/atom. The density of states at the Fermi level comes out at 0.59 states/eV per atom. Its crystal system is trigonal. The spin magnetization comes out at 0.0 μB/f.u.

The structure belongs to space group R-3m (No. 166, hexagonal axes); the cell edges are 3.1844, 3.1844 and 24.7625 Å and the angles 90.00°, 90.00° and 120.00°. The asymmetric unit holds Ti at (0.0000, 0.0000, 0.0000), Ru at (0.0000, 0.0000, 0.5000) and Se at (0.0000, 0.0000, 0.4038).

---

No. 7
The following is a DFT calculation (GGA-PBE) of crystalline Ti3RuSe at its relaxed geometry.

The value obtained for the total DFT energy (no corrections) is -6.9670 eV/atom. As for the mass density: 5.63 g cm⁻³. The value obtained for the polymorph energy (0 for the lowest one) is 0.084 eV/atom. The density of states at the Fermi level comes out at 0.93 states/eV per atom. Its crystal system is cubic. The spin magnetization comes out at 0.0 μB/f.u.

The structure belongs to space group Pm-3m (No. 221); the cell edges are 4.5695, 4.5695 and 4.5695 Å and the angles 90.00°, 90.00° and 90.00°. The asymmetric unit holds Ti at (0.0000, 0.0000, 0.5000), Ru at (0.5000, 0.5000, 0.5000) and Se at (0.0000, 0.0000, 0.0000).

---

No. 8
The following is a DFT calculation (GGA-PBE) of crystalline TiRuSe2 at its relaxed geometry.

The value obtained for the total DFT energy (no corrections) is -6.3405 eV/atom. As for the mass density: 8.04 g cm⁻³. The value obtained for the polymorph energy (0 for the lowest one) is 0.000 eV/atom. The density of states at the Fermi level comes out at 1.48 states/eV per atom. Its crystal system is cubic. The spin magnetization comes out at 0.0 μB/f.u.

The structure belongs to space group Fm-3m (No. 225); the cell edges are 6.3297, 6.3297 and 6.3297 Å and the angles 90.00°, 90.00° and 90.00°. The asymmetric unit holds Ti at (0.0000, 0.0000, 0.0000), Ru at (0.0000, 0.0000, 0.5000) and Se at (0.2500, 0.2500, 0.2500).

---

No. 9
The following is a DFT calculation (GGA-PBE) of crystalline Ti3RuSe at its relaxed geometry.

The value obtained for the total DFT energy (no corrections) is -7.0514 eV/atom. As for the mass density: 5.16 g cm⁻³. The value obtained for the polymorph energy (0 for the lowest one) is 0.000 eV/atom. The density of states at the Fermi level comes out at 0.77 states/eV per atom. Its crystal system is cubic. The spin magnetization comes out at 0.0 μB/f.u.

The structure belongs to space group Pm-3m (No. 221); the cell edges are 4.7040, 4.7040 and 4.7040 Å and the angles 90.00°, 90.00° and 90.00°. The asymmetric unit holds Ti at (0.0000, 0.0000, 0.5000), Ru at (0.0000, 0.0000, 0.0000) and Se at (0.5000, 0.5000, 0.5000).

---

No. 10
The following is a DFT calculation (GGA-PBE) of crystalline Ti2RuSe2 at its relaxed geometry.

The value obtained for the total DFT energy (no corrections) is -6.9253 eV/atom. As for the mass density: 7.41 g cm⁻³. The value obtained for the polymorph energy (0 for the lowest one) is 0.000 eV/atom. The density of states at the Fermi level comes out at 0.95 states/eV per atom. Its crystal system is tetragonal. The spin magnetization comes out at 0.0 μB/f.u.

The structure belongs to space group P4/mbm (No. 127); the cell edges are 6.9407, 6.9407 and 3.3018 Å and the angles 90.00°, 90.00° and 90.00°. The asymmetric unit holds Ti at (0.1486, 0.3514, 0.0000), Ru at (0.0000, 0.0000, 0.5000) and Se at (0.1550, 0.6550, 0.5000).

---

No. 11
The following is a DFT calculation (GGA-PBE) of crystalline TiRu3Se at its relaxed geometry.

The value obtained for the total DFT energy (no corrections) is -6.5496 eV/atom. As for the mass density: 7.63 g cm⁻³. The value obtained for the polymorph energy (0 for the lowest one) is 0.527 eV/atom. The density of states at the Fermi level comes out at 1.87 states/eV per atom. Its crystal system is cubic. The spin magnetization comes out at 0.0 μB/f.u.

The structure belongs to space group Pm-3m (No. 221); the cell edges are 4.5398, 4.5398 and 4.5398 Å and the angles 90.00°, 90.00° and 90.00°. The asymmetric unit holds Ti at (0.0000, 0.0000, 0.0000), Ru at (0.0000, 0.0000, 0.5000) and Se at (0.5000, 0.5000, 0.5000).